# 1
AgBiW3, PBEsol geometry, DFT meta-GGA SCAN; N(E_F) = 5.6 states/eV/cell; energy of formation from the pure elements = 3.4447 eV per atom
1.0
-1.352 -3.565 3.156
4.727 -0.612 1.333
-0.570 3.378 3.572
Ag Bi W
1 1 3
direct
0.500 0.500 0.500
0.000 0.000 0.000
0.000 0.500 0.000
0.000 0.000 0.500
0.500 0.000 0.000

=====

# 2
Ir2SN, PBEsol geometry, DFT meta-GGA SCAN; N(E_F) = 3.9 states/eV/cell; formation energy from raw total energies = 1318 meV per atom
1.0
4.046 0.000 0.000
2.023 3.504 0.000
2.023 1.168 3.303
S Ir N
1 2 1
direct
0.500 0.500 0.500
0.250 0.250 0.250
0.750 0.750 0.750
0.000 0.000 0.000

=====

# 3
CaZrReSb2, PBEsol geometry, DFT meta-GGA SCAN; N(E_F) = 3.9 states/eV/cell; formation energy from raw total energies = 301 meV per atom
1.0
-1.471 4.659 1.109
-4.308 -0.683 -2.841
-2.491 -1.788 4.207
Re Ca Zr Sb
1 1 1 2
direct
0.000 0.000 0.000
0.500 0.500 0.500
0.500 0.000 0.000
0.000 0.000 0.500
0.000 0.500 0.000